(1)
SrZn2Pb: optimized geometry, PBE-GGA.

Lattice parameters (Å, degrees): 4.2203 4.5461 11.4477 90.00 90.00 90.00
Sites, in units of the cell vectors:
Sr (0.0000, 0.0000, 0.0000)
Sr (0.5000, 0.5000, 0.5000)
Zn (0.0000, 0.0000, 0.3999)
Zn (0.0000, 0.5000, 0.7717)
Zn (0.5000, 0.0000, 0.2717)
Zn (0.5000, 0.5000, 0.8999)
Pb (0.0000, 0.5000, 0.2273)
Pb (0.5000, 0.0000, 0.7273)

Theoretical density = 6.44 Mg/m³
E_form = -0.141 eV/atom
Symmetry = Imm2
DOS(E_F) = 0.42 states/eV per atom
Energy = -2.125 eV/atom

---

(2)
SrZn2Pb: optimized geometry, PBE-GGA.

Lattice parameters (Å, degrees): 6.7203 10.5479 3.5847 90.00 118.43 90.00
Sites, in units of the cell vectors:
Sr (0.0000, 0.0000, 0.0000)
Sr (0.5000, 0.5000, 0.0000)
Zn (0.2500, 0.2500, 0.5000)
Zn (0.2500, 0.7500, 0.5000)
Zn (0.7500, 0.2500, 0.5000)
Zn (0.7500, 0.7500, 0.5000)
Pb (0.0000, 0.5000, 0.0000)
Pb (0.5000, 0.0000, 0.0000)

Theoretical density = 6.33 Mg/m³
E_form = 0.055 eV/atom
Symmetry = C2/m
DOS(E_F) = 0.58 states/eV per atom
Energy = -1.930 eV/atom

---

(3)
Sr2ZnPb: optimized geometry, PBE-GGA.

Lattice parameters (Å, degrees): 3.9416 4.0035 8.2330 90.00 90.00 90.00
Sites, in units of the cell vectors:
Sr (0.0000, 0.0000, 0.2362)
Sr (0.0000, 0.0000, 0.7638)
Zn (0.5000, 0.5000, 0.0000)
Pb (0.5000, 0.5000, 0.5000)

Theoretical density = 5.72 Mg/m³
E_form = -0.380 eV/atom
Symmetry = Pmmm
DOS(E_F) = 0.35 states/eV per atom
Energy = -2.467 eV/atom

---

(4)
Sr2ZnPb2: optimized geometry, PBE-GGA.

Lattice parameters (Å, degrees): 9.0997 9.0997 4.3996 90.00 90.00 90.00
Sites, in units of the cell vectors:
Sr (0.1789, 0.3211, 0.0000)
Sr (0.3211, 0.8211, 0.0000)
Sr (0.6789, 0.1789, 0.0000)
Sr (0.8211, 0.6789, 0.0000)
Zn (0.0000, 0.0000, 0.0000)
Zn (0.5000, 0.5000, 0.0000)
Pb (0.1191, 0.6191, 0.5000)
Pb (0.3809, 0.1191, 0.5000)
Pb (0.6191, 0.8809, 0.5000)
Pb (0.8809, 0.3809, 0.5000)

Theoretical density = 5.97 Mg/m³
E_form = -0.208 eV/atom
Symmetry = P4/mbm
DOS(E_F) = 0.56 states/eV per atom
Energy = -2.619 eV/atom
Energy relative to the lowest polymorph listed for this composition = 0.238 eV/atom

---

(5)
SrZnPb3: optimized geometry, PBE-GGA.

Lattice parameters (Å, degrees): 6.2137 6.2137 6.2137 90.00 90.00 90.00
Sites, in units of the cell vectors:
Sr (0.0000, 0.0000, 0.0000)
Zn (0.5000, 0.5000, 0.5000)
Pb (0.0000, 0.0000, 0.5000)
Pb (0.0000, 0.5000, 0.0000)
Pb (0.5000, 0.0000, 0.0000)

Theoretical density = 5.36 Mg/m³
E_form = 0.841 eV/atom
Symmetry = Pm-3m
DOS(E_F) = 1.13 states/eV per atom
Energy = -1.975 eV/atom
Energy relative to the lowest polymorph listed for this composition = 0.878 eV/atom

---

(6)
Sr3ZnPb: optimized geometry, PBE-GGA.

Lattice parameters (Å, degrees): 5.9649 5.9649 5.9649 90.00 90.00 90.00
Sites, in units of the cell vectors:
Sr (0.0000, 0.0000, 0.5000)
Sr (0.0000, 0.5000, 0.0000)
Sr (0.5000, 0.0000, 0.0000)
Zn (0.0000, 0.0000, 0.0000)
Pb (0.5000, 0.5000, 0.5000)

Theoretical density = 4.19 Mg/m³
E_form = -0.039 eV/atom
Symmetry = Pm-3m
DOS(E_F) = 1.38 states/eV per atom
Energy = -2.045 eV/atom
Energy relative to the lowest polymorph listed for this composition = 0.000 eV/atom

---

(7)
SrZnPb4: optimized geometry, PBE-GGA.

Lattice parameters (Å, degrees): 6.5360 6.5360 6.5360 60.00 60.00 60.00
Sites, in units of the cell vectors:
Sr (0.0000, 0.0000, 0.0000)
Zn (0.7500, 0.7500, 0.7500)
Pb (0.3745, 0.3745, 0.3745)
Pb (0.3745, 0.3745, 0.8765)
Pb (0.3745, 0.8765, 0.3745)
Pb (0.8765, 0.3745, 0.3745)

Theoretical density = 8.26 Mg/m³
E_form = -0.042 eV/atom
Symmetry = F-43m
DOS(E_F) = 0.42 states/eV per atom
Energy = -3.006 eV/atom

---

(8)
SrZn2Pb: optimized geometry, PBE-GGA.

Lattice parameters (Å, degrees): 3.8525 4.8962 5.8072 90.00 90.08 90.00
Sites, in units of the cell vectors:
Sr (0.0000, 0.0000, 0.0000)
Zn (0.4971, 0.5000, 0.7715)
Zn (0.5029, 0.5000, 0.2285)
Pb (0.5000, 0.0000, 0.5000)

Theoretical density = 6.45 Mg/m³
E_form = -0.124 eV/atom
Symmetry = P2/m
DOS(E_F) = 0.40 states/eV per atom
Energy = -2.108 eV/atom